(1)
Entry from Alexandria: a crystal of YTa2P relaxed with PBEsol (SCAN).

abc: 3.3416 3.3416 6.6658
angles: 90.00 90.00 90.00
Closest atoms and distances in Å follow each position.
Fractional positions:
Y (0.0000, 0.0000, 0.0000)  4 P 3.05, 5 Ta 3.09-3.11, 4 Y 3.34
Ta (0.0000, 0.0000, 0.4629)  4 P 2.63, 4 Ta 2.83
Ta (0.5000, 0.5000, 0.6962)  1 P 2.72, 4 Ta 2.83
P (0.5000, 0.5000, 0.2887)  5 Ta 2.63-2.72

Properties
Energy of formation from the pure elements ... -28.5 kJ/mol of atoms

=====

(2)
Entry from Alexandria: a crystal of Ag3BrF relaxed with PBEsol (SCAN).

abc: 5.0719 5.0719 5.0719
angles: 90.00 90.00 90.00
Closest atoms and distances in Å follow each position.
Fractional positions:
Ag (0.0000, 0.0000, 0.5000)  2 Br 2.54
Ag (0.0000, 0.5000, 0.0000)  2 Br 2.54
Ag (0.5000, 0.0000, 0.0000)  2 Br 2.54
Br (0.0000, 0.0000, 0.0000)  6 Ag 2.54
F (0.5000, 0.5000, 0.5000)  12 Ag 3.59

Properties
Uncorrected formation energy ... 0.27 eV per atom

=====

(3)
Entry from Alexandria: a crystal of Tl2InIr relaxed with PBEsol (SCAN).

abc: 4.9893 4.9893 3.3956
angles: 90.00 90.00 90.00
Closest atoms and distances in Å follow each position.
Fractional positions:
Tl (0.0000, 0.5000, 0.0000)  4 Ir 3.02, 4 In 3.02
Tl (0.5000, 0.0000, 0.0000)  4 Ir 3.02, 4 In 3.02
In (0.0000, 0.0000, 0.5000)  8 Tl 3.02
Ir (0.5000, 0.5000, 0.5000)  8 Tl 3.02

Properties
Excess energy over the best structure of this formula in the dataset ... 596.6 meV/atom
Energy of formation from the pure elements ... 65.5 kJ/mol of atoms

=====

(4)
Entry from Alexandria: a crystal of KScSeBr2 relaxed with PBEsol (SCAN).

abc: 5.4684 5.4684 5.6238
angles: 90.00 90.00 90.00
Closest atoms and distances in Å follow each position.
Fractional positions:
K (0.0000, 0.0000, 0.0000)  4 Br 2.73, 2 Se 2.81
Sc (0.5000, 0.5000, 0.5000)  4 Se 3.87, 8 Br 3.92
Se (0.0000, 0.0000, 0.5000)  2 K 2.81
Br (0.0000, 0.5000, 0.0000)  2 K 2.73
Br (0.5000, 0.0000, 0.0000)  2 K 2.73

Properties
Uncorrected formation energy ... -0.23 eV per atom
Excess energy over the best structure of this formula in the dataset ... 1548.2 meV/atom

=====

(5)
Entry from Alexandria: a crystal of ReSn2BiN relaxed with PBEsol (SCAN).

abc: 5.4246 5.4246 3.7639
angles: 90.00 90.00 90.00
Closest atoms and distances in Å follow each position.
Fractional positions:
Re (0.0000, 0.0000, 0.0000)  2 N 1.88
Sn (0.0000, 0.5000, 0.0000)  2 Re 2.71
Sn (0.5000, 0.0000, 0.0000)  2 Re 2.71
Bi (0.5000, 0.5000, 0.5000)  8 Sn 3.30
N (0.0000, 0.0000, 0.5000)  2 Re 1.88

Properties
Uncorrected formation energy ... 0.38 eV per atom

=====

(6)
Entry from Alexandria: a crystal of Ta2Br relaxed with PBEsol (SCAN).

abc: 4.9706 4.9706 4.9706
angles: 145.58 127.05 64.69
Closest atoms and distances in Å follow each position.
Fractional positions:
Ta (0.1718, 0.1718, 0.0000)  5 Br 2.76-3.03, 7 Ta 2.89-2.97
Ta (0.8282, 0.8282, 0.0000)  5 Br 2.76-3.03, 7 Ta 2.89-2.97
Br (0.5000, 0.5000, 0.0000)  10 Ta 2.76-3.03, 2 Br 2.94

Properties
Uncorrected formation energy ... 0.81 eV per atom
Excess energy over the best structure of this formula in the dataset ... 366.7 meV/atom

=====

(7)
Entry from Alexandria: a crystal of Ni2Pt relaxed with PBEsol (SCAN).

abc: 4.8948 4.8948 6.0835
angles: 104.41 104.41 31.29
Closest atoms and distances in Å follow each position.
Fractional positions:
Ni (0.0000, 0.0000, 0.0000)  7 Ni 2.54-2.65, 5 Pt 2.55-2.60
Ni (0.0567, 0.0567, 0.6110)  4 Pt 2.52-2.53, 8 Ni 2.52-2.64
Ni (0.3396, 0.3396, 0.6716)  3 Pt 2.51-2.57, 9 Ni 2.54-2.64
Ni (0.6705, 0.6705, 0.3470)  8 Ni 2.52-2.65, 4 Pt 2.53-2.66
Pt (0.3945, 0.3945, 0.2885)  8 Ni 2.51-2.59, 4 Pt 2.64-2.71
Pt (0.7164, 0.7164, 0.9333)  8 Ni 2.52-2.66, 4 Pt 2.64-2.71

Properties
Energy of formation from the pure elements ... -6.1 kJ/mol of atoms

=====

(8)
Entry from Alexandria: a crystal of MnH8SO8 relaxed with PBEsol (SCAN).

abc: 5.8154 13.8355 9.7647
angles: 90.00 126.24 90.00
Closest atoms and distances in Å follow each position.
Fractional positions:
Mn (0.1531, 0.1064, 0.2186)  6 O 2.12-2.21
Mn (0.1531, 0.3936, 0.7186)  6 O 2.12-2.21
Mn (0.8469, 0.6064, 0.2814)  6 O 2.12-2.21
Mn (0.8469, 0.8936, 0.7814)  6 O 2.12-2.21
H (0.0631, 0.7335, 0.7250)  1 O 1.00
H (0.0631, 0.7665, 0.2250)  1 O 1.00
H (0.0968, 0.0856, 0.4792)  1 O 0.99
H (0.0968, 0.4144, 0.9792)  1 O 0.99
H (0.1266, 0.1896, 0.7193)  1 O 1.00
H (0.1266, 0.3104, 0.2193)  1 O 1.00
H (0.1280, 0.5132, 0.1708)  1 O 1.00
H (0.1280, 0.9868, 0.6708)  1 O 1.00
H (0.3222, 0.6863, 0.0166)  1 O 0.99
H (0.3222, 0.8137, 0.5166)  1 O 0.99
H (0.3675, 0.5939, 0.9378)  1 O 1.00
H (0.3675, 0.9061, 0.4378)  1 O 1.00
H (0.4344, 0.1087, 0.0605)  1 O 0.98
H (0.4344, 0.3913, 0.5605)  1 O 0.98
H (0.4711, 0.2041, 0.1622)  1 O 1.00
H (0.4711, 0.2959, 0.6622)  1 O 1.00
H (0.5289, 0.7041, 0.3378)  1 O 1.00
H (0.5289, 0.7959, 0.8378)  1 O 1.00
H (0.5656, 0.6087, 0.4395)  1 O 0.98
H (0.5656, 0.8913, 0.9395)  1 O 0.98
H (0.6325, 0.0939, 0.5622)  1 O 1.00
H (0.6325, 0.4061, 0.0622)  1 O 1.00
H (0.6778, 0.1863, 0.4834)  1 O 0.99
H (0.6778, 0.3137, 0.9834)  1 O 0.99
H (0.8720, 0.0132, 0.3292)  1 O 1.00
H (0.8720, 0.4868, 0.8292)  1 O 1.00
H (0.8734, 0.6896, 0.7807)  1 O 1.00
H (0.8734, 0.8104, 0.2807)  1 O 1.00
H (0.9032, 0.5856, 0.0208)  1 O 0.99
H (0.9032, 0.9144, 0.5208)  1 O 0.99
H (0.9369, 0.2335, 0.7750)  1 O 1.00
H (0.9369, 0.2665, 0.2750)  1 O 1.00
S (0.3912, 0.6086, 0.6820)  4 O 1.48-1.50
S (0.3912, 0.8914, 0.1820)  4 O 1.48-1.50
S (0.6088, 0.1086, 0.8180)  4 O 1.48-1.50
S (0.6088, 0.3914, 0.3180)  4 O 1.48-1.50
O (0.0123, 0.2472, 0.7083)  2 H 1.00
O (0.0123, 0.2528, 0.2083)  2 H 1.00
O (0.0149, 0.5735, 0.1448)  2 H 0.99-1.00
O (0.0149, 0.9265, 0.6448)  2 H 0.99-1.00
O (0.2631, 0.5476, 0.7468)  1 S 1.49
O (0.2631, 0.9524, 0.2468)  1 S 1.49
O (0.2837, 0.5773, 0.5084)  1 S 1.48
O (0.2837, 0.9227, 0.0084)  1 S 1.48
O (0.2902, 0.0962, 0.7035)  1 S 1.50, 1 H 1.66
O (0.2902, 0.4038, 0.2035)  1 S 1.50, 1 H 1.66
O (0.3226, 0.7113, 0.6846)  1 S 1.48
O (0.3226, 0.7887, 0.1846)  1 S 1.48
O (0.3336, 0.1517, 0.0890)  2 H 0.98-1.00
O (0.3336, 0.3483, 0.5890)  2 H 0.98-1.00
O (0.4345, 0.6263, 0.0467)  2 H 0.99-1.00
O (0.4345, 0.8737, 0.5467)  2 H 0.99-1.00
O (0.5655, 0.1263, 0.4533)  2 H 0.99-1.00
O (0.5655, 0.3737, 0.9533)  2 H 0.99-1.00
O (0.6664, 0.6517, 0.4110)  2 H 0.98-1.00
O (0.6664, 0.8483, 0.9110)  2 H 0.98-1.00
O (0.6774, 0.2113, 0.8154)  1 S 1.48
O (0.6774, 0.2887, 0.3154)  1 S 1.48
O (0.7098, 0.5962, 0.7965)  1 S 1.50, 1 H 1.66
O (0.7098, 0.9038, 0.2965)  1 S 1.50, 1 H 1.66
O (0.7163, 0.0773, 0.9916)  1 S 1.48
O (0.7163, 0.4227, 0.4916)  1 S 1.48
O (0.7369, 0.0476, 0.7532)  1 S 1.49
O (0.7369, 0.4524, 0.2532)  1 S 1.49
O (0.9851, 0.0735, 0.3552)  2 H 0.99-1.00
O (0.9851, 0.4265, 0.8552)  2 H 0.99-1.00
O (0.9877, 0.7472, 0.7917)  2 H 1.00
O (0.9877, 0.7528, 0.2917)  2 H 1.00

Properties
DFT total energy ... -0.264 Ha/atom